Entry from Alexandria via LeMat-Bulk: a relaxed structure of ReTe5 (PBE).

Structure (extended XYZ):
```
6
Lattice="3.128 0.000 0.000 0.000 3.128 0.000 0.000 0.000 18.858" Properties=species:S:1:pos:R:3 pbc="T T T"
Re 0.000 0.000 0.000
Te 0.000 0.000 5.208
Te 0.000 0.000 13.650
Te 1.564 1.564 1.751
Te 1.564 1.564 9.429
Te 1.564 1.564 17.107
```

Summary:
The symmetry is P4/mmm, No. 123. As for the uncorrected formation energy: 257 meV per atom. The calculation puts the energy relative to the lowest polymorph listed for this composition at 0.112 eV/atom. The spin magnetization comes out at 0.0 μB per formula unit. The density of states at the Fermi level is 3.71 states/eV/f.u. Its total energy is -4.436 eV/atom.